DFT (PBE) results for an optimized crystal structure of La5Pm3Tm.

Properties
Total magnetization: 0.00 μB/f.u.
Raw total energy: -163.57 eV for the cell shown
Fermi-level density of states: 1.87 states/eV/atom

Unit cell a=9.097 b=9.097 c=15.548 alpha=90.00 beta=90.00 gamma=90.00
Space group I4/mcm (No. 140)
One atom of each set of equivalent atoms:
La: 0.000 0.000 0.000 (multiplicity 4)
La: 0.212 0.288 0.141 (multiplicity 16)
Pm: 0.000 0.000 0.250 (multiplicity 4)
Pm: 0.114 0.386 0.500 (multiplicity 8)
Tm: 0.000 0.500 0.250 (multiplicity 4)